The following is a PBE-GGA calculation of crystalline KNa4F5 at its relaxed geometry, from Alexandria.

abc: 3.471 3.471 24.218
angles: 90.00 90.00 90.00
Space group I4/mmm (No. 139)
Asymmetric unit:
K (0.000, 0.000, 0.000) x2
Na (0.000, 0.000, 0.203) x4
Na (0.000, 0.000, 0.393) x4
F (0.000, 0.000, 0.108) x4
F (0.000, 0.000, 0.298) x4
F (0.000, 0.000, 0.500) x2

**Crystal system**: tetragonal
**Uncorrected formation energy**: -61.9 kcal/mol of atoms
**Polymorph energy (0 for the lowest one)**: 16.4 meV per atom

***

The following is a PBE-GGA calculation of crystalline CsNa2CrC at its relaxed geometry, from Alexandria.

abc: 5.641 5.641 4.028
angles: 90.00 90.00 90.00
Space group P4/mmm (No. 123)
Asymmetric unit:
Cs (0.000, 0.000, 0.000) x1
Na (0.000, 0.500, 0.500) x2
Cr (0.500, 0.500, 0.000) x1
C (0.500, 0.500, 0.500) x1

**Crystal system**: tetragonal
**Formation energy**: 749 meV/atom

***

Number 1: E -4.255 eV per atom. Number 2: E -3.719 eV per atom.